Density functional theory data (PBE+U) for an optimized crystal structure of TiNiF3.

Computed properties:
* N(E_F): 0.7178 states/eV/atom
* SG: Pm-3m, No. 221
* total DFT energy (no corrections): -23.94 eV/cell

a = 3.9923 Å, b = 3.9923 Å, c = 3.9923 Å
α = 90.00°, β = 90.00°, γ = 90.00°
Sites, in units of the cell vectors:
1 Ni 0.5000 0.5000 0.5000
2 Ti 0.0000 0.0000 0.0000
3 F 0.0000 0.5000 0.0000
4 F 0.0000 0.0000 0.5000
5 F 0.5000 0.0000 0.0000